No. 1
CaYRh2 | PBE | relaxed

Properties
Distance to the lowest polymorph of the same formula: 339 meV per atom
Crystal system: trigonal
Energy: -72.9 eV for the cell shown
DFT formation energy: -1.14 eV per formula unit

Geometry as CIF:
```
data_CaYRh2
_chemical_formula_sum 'Ca3 Y3 Rh6'
_symmetry_space_group_name_H-M 'R -3 m'
_symmetry_Int_Tables_number 166
_symmetry_space_group_name_Hall '-R 3 2"'
_cell_length_a 3.4495
_cell_length_b 3.4495
_cell_length_c 24.8533
_cell_angle_alpha 90.00
_cell_angle_beta 90.00
_cell_angle_gamma 120.00
loop_
_atom_site_label
_atom_site_fract_x
_atom_site_fract_y
_atom_site_fract_z
Ca1 0.0000 0.0000 0.0000
Y1 0.0000 0.0000 0.5000
Rh1 0.0000 0.0000 0.2469
```

***

No. 2
Pm12Si7Tc | PBE | relaxed

Properties
Crystal system: trigonal
Energy: -339.4 eV for the cell shown
Formation energy without anion corrections: -37.7 kJ per mole of atoms

Geometry as CIF:
```
data_Pm12Si7Tc
_chemical_formula_sum 'Pm36 Si21 Tc3'
_symmetry_space_group_name_H-M 'R -3'
_symmetry_Int_Tables_number 148
_symmetry_space_group_name_Hall '-R 3'
_cell_length_a 14.6630
_cell_length_b 14.6630
_cell_length_c 8.9471
_cell_angle_alpha 90.00
_cell_angle_beta 90.00
_cell_angle_gamma 120.00
loop_
_atom_site_label
_atom_site_fract_x
_atom_site_fract_y
_atom_site_fract_z
Pm1 0.0310 0.4422 0.3166
Pm2 0.0447 0.1722 0.2708
Si1 0.0000 0.0000 0.5000
Si2 0.0470 0.1828 0.9303
Tc1 0.0000 0.0000 0.0000
```

***

No. 3
TaCuRe | PBE | relaxed

Properties
Distance to the lowest polymorph of the same formula: 830 meV per atom
Crystal system: cubic
Energy: -102.7 eV for the cell shown
DFT formation energy: 2.73 eV per formula unit

Geometry as CIF:
```
data_TaCuRe
_chemical_formula_sum 'Ta4 Cu4 Re4'
_symmetry_space_group_name_H-M 'F -4 3 m'
_symmetry_Int_Tables_number 216
_symmetry_space_group_name_Hall 'F -4 2 3'
_cell_length_a 6.048
_cell_length_b 6.048
_cell_length_c 6.048
_cell_angle_alpha 90.00
_cell_angle_beta 90.00
_cell_angle_gamma 90.00
loop_
_atom_site_label
_atom_site_fract_x
_atom_site_fract_y
_atom_site_fract_z
Ta1 0.000 0.000 0.000
Cu1 0.250 0.250 0.250
Re1 0.250 0.250 0.750
```

***

No. 4
KRbAs2Se | PBE | relaxed

Properties
Distance to the lowest polymorph of the same formula: 105 meV per atom
Crystal system: tetragonal
Energy: -11.1 eV for the cell shown
Formation energy without anion corrections: 72.1 kJ per mole of atoms

Geometry as CIF:
```
data_KRbAs2Se
_chemical_formula_sum 'K1 Rb1 As2 Se1'
_symmetry_space_group_name_H-M 'P 4/m m m'
_symmetry_Int_Tables_number 123
_symmetry_space_group_name_Hall '-P 4 2'
_cell_length_a 6.463
_cell_length_b 6.463
_cell_length_c 6.256
_cell_angle_alpha 90.00
_cell_angle_beta 90.00
_cell_angle_gamma 90.00
loop_
_atom_site_label
_atom_site_fract_x
_atom_site_fract_y
_atom_site_fract_z
K1 0.000 0.000 0.000
Rb1 0.500 0.500 0.500
As1 0.000 0.500 0.500
Se1 0.500 0.500 0.000
```

***

no.,size of the total moment (μB per formula unit)
1,0.00
2,0.00
3,0.00
4,5.02